Entry 1:
First-principles (PBE) data for a geometry-optimized TbPr3Y6Th2 structure, as listed in Alexandria.

abc: 6.2554 6.2554 11.8742
angles: 95.05 95.05 119.97
Fractional positions:
Tb  0.0000  0.0000  0.0000
Pr  0.1662  0.8338  0.5000
Pr  0.5000  0.5000  0.5000
Pr  0.8338  0.1662  0.5000
Y  0.0813  0.4190  0.2440
Y  0.2564  0.2564  0.7556
Y  0.4190  0.0813  0.2440
Y  0.5810  0.9187  0.7560
Y  0.7436  0.7436  0.2444
Y  0.9187  0.5810  0.7560
Th  0.3334  0.6666  0.0000
Th  0.6666  0.3334  0.0000

E in eV per atom: -6.03
Symmetry: C2/m (12)

Entry 2:
First-principles (PBE) data for a geometry-optimized Tb3Pr2Y6Th structure, as listed in Alexandria.

abc: 6.2400 6.2400 11.8488
angles: 95.03 95.03 119.96
Fractional positions:
Tb  0.0000  0.0000  0.0000
Tb  0.3329  0.6671  0.0000
Tb  0.6671  0.3329  0.0000
Pr  0.1666  0.8334  0.5000
Pr  0.8334  0.1666  0.5000
Y  0.0863  0.4158  0.2490
Y  0.2549  0.2549  0.7511
Y  0.4158  0.0863  0.2490
Y  0.5842  0.9137  0.7510
Y  0.7451  0.7451  0.2489
Y  0.9137  0.5842  0.7510
Th  0.5000  0.5000  0.5000

E in eV per atom: -5.77
Symmetry: C2/m (12)

Entry 3:
First-principles (PBE) data for a geometry-optimized TbPr5Y2Th structure, as listed in Alexandria.

abc: 11.2856 11.2856 10.6690
angles: 90.00 90.00 151.96
Fractional positions:
Tb  0.1020  0.8980  0.7500
Tb  0.8980  0.1020  0.2500
Pr  0.0000  0.0000  0.0000
Pr  0.0000  0.0000  0.5000
Pr  0.1251  0.8749  0.2500
Pr  0.2220  0.7780  0.5574
Pr  0.2220  0.7780  0.9426
Pr  0.4979  0.5021  0.7500
Pr  0.5021  0.4979  0.2500
Pr  0.7780  0.2220  0.0574
Pr  0.7780  0.2220  0.4426
Pr  0.8749  0.1251  0.7500
Y  0.3867  0.6133  0.0045
Y  0.3867  0.6133  0.4955
Y  0.6133  0.3867  0.5045
Y  0.6133  0.3867  0.9955
Th  0.2858  0.7142  0.2500
Th  0.7142  0.2858  0.7500

E in eV per atom: -5.29
Symmetry: Cmcm (63)

Entry 4:
First-principles (PBE) data for a geometry-optimized Tb2Pr5YTh structure, as listed in Alexandria.

abc: 11.3063 11.3063 10.6588
angles: 90.00 90.00 152.03
Fractional positions:
Tb  0.1129  0.8871  0.5060
Tb  0.1129  0.8871  0.9940
Tb  0.8871  0.1129  0.0060
Tb  0.8871  0.1129  0.4940
Pr  0.0029  0.9971  0.2500
Pr  0.2774  0.7226  0.0574
Pr  0.2774  0.7226  0.4426
Pr  0.3736  0.6264  0.7500
Pr  0.5000  0.5000  0.0000
Pr  0.5000  0.5000  0.5000
Pr  0.6264  0.3736  0.2500
Pr  0.7226  0.2774  0.5574
Pr  0.7226  0.2774  0.9426
Pr  0.9971  0.0029  0.7500
Y  0.3979  0.6021  0.2500
Y  0.6021  0.3979  0.7500
Th  0.2129  0.7871  0.7500
Th  0.7871  0.2129  0.2500

E in eV per atom: -5.09
Symmetry: Cmcm (63)

Entry 5:
First-principles (PBE) data for a geometry-optimized TbPrYTh structure, as listed in Alexandria.

abc: 5.7323 5.7323 5.7323
angles: 60.00 60.00 60.00
Fractional positions:
Tb  0.0000  0.0000  0.0000
Pr  0.2500  0.2500  0.2500
Y  0.5000  0.5000  0.5000
Th  0.7500  0.7500  0.7500

E in eV per atom: -5.68
Excess energy over the best structure of this formula in the dataset in meV/atom: 129
Symmetry: F-43m (216)

Entry 6:
First-principles (PBE) data for a geometry-optimized TbPr2Y5Th structure, as listed in Alexandria.

abc: 9.9587 9.9587 9.9587
angles: 127.82 127.82 76.92
Fractional positions:
Tb  0.2500  0.7500  0.5000
Tb  0.7500  0.2500  0.5000
Pr  0.1168  0.6168  0.7335
Pr  0.3832  0.1168  0.5000
Pr  0.6168  0.8832  0.5000
Pr  0.8832  0.3832  0.2665
Y  0.0000  0.0000  0.0000
Y  0.0729  0.1470  0.5000
Y  0.1470  0.6470  0.0741
Y  0.3530  0.4271  0.5000
Y  0.4271  0.9271  0.0741
Y  0.5000  0.5000  0.0000
Y  0.5729  0.0729  0.9259
Y  0.6470  0.5729  0.5000
Y  0.8530  0.3530  0.9259
Y  0.9271  0.8530  0.5000
Th  0.2500  0.2500  0.0000
Th  0.7500  0.7500  0.0000

E in eV per atom: -5.71
Symmetry: I4/mcm (140)

Entry 7:
First-principles (PBE) data for a geometry-optimized TbPr2Y4Th2 structure, as listed in Alexandria.

abc: 6.1079 6.8372 8.5493
angles: 79.09 69.97 64.56
Fractional positions:
Tb  0.0000  0.0000  0.0000
Pr  0.3947  0.6860  0.6531
Pr  0.6053  0.3140  0.3469
Y  0.1866  0.4352  0.1266
Y  0.4871  0.8730  0.2264
Y  0.5129  0.1270  0.7736
Y  0.8134  0.5648  0.8734
Th  0.0468  0.2260  0.5477
Th  0.9532  0.7740  0.4523

E in eV per atom: -5.99
Symmetry: P-1 (2)

Entry 8:
First-principles (PBE) data for a geometry-optimized TbPr6Y2Th structure, as listed in Alexandria.

abc: 8.9700 8.9700 9.6746
angles: 93.57 93.57 115.13
Fractional positions:
Tb  0.0919  0.9081  0.7500
Tb  0.9081  0.0919  0.2500
Pr  0.0204  0.7987  0.3841
Pr  0.0754  0.5071  0.1904
Pr  0.2013  0.9796  0.1159
Pr  0.2636  0.6075  0.5624
Pr  0.3925  0.7364  0.9376
Pr  0.4929  0.9246  0.3096
Pr  0.5071  0.0754  0.6904
Pr  0.6075  0.2636  0.0624
Pr  0.7364  0.3925  0.4376
Pr  0.7987  0.0204  0.8841
Pr  0.9246  0.4929  0.8096
Pr  0.9796  0.2013  0.6159
Y  0.2111  0.2986  0.9450
Y  0.2986  0.2111  0.4450
Y  0.7014  0.7889  0.5550
Y  0.7889  0.7014  0.0550
Th  0.4649  0.5351  0.2500
Th  0.5351  0.4649  0.7500

E in eV per atom: -5.22
Symmetry: C2/c (15)

Entry 9:
First-principles (PBE) data for a geometry-optimized TbPr3YTh structure, as listed in Alexandria.

abc: 10.9063 3.6496 10.9315
angles: 90.00 109.41 90.00
Fractional positions:
Tb  0.2038  0.2500  0.3825
Tb  0.7962  0.7500  0.6175
Pr  0.0412  0.2500  0.8651
Pr  0.2917  0.7500  0.1252
Pr  0.4549  0.7500  0.6261
Pr  0.5451  0.2500  0.3739
Pr  0.7083  0.2500  0.8748
Pr  0.9588  0.7500  0.1349
Y  0.3718  0.2500  0.8705
Y  0.6282  0.7500  0.1295
Th  0.1209  0.7500  0.6211
Th  0.8791  0.2500  0.3789

E in eV per atom: -5.45
Symmetry: P2_1/m (11)

Entry 10:
First-principles (PBE) data for a geometry-optimized Tb6Pr2Y3Th structure, as listed in Alexandria.

abc: 6.2293 6.2293 11.8883
angles: 95.00 95.00 119.95
Fractional positions:
Tb  0.0845  0.4136  0.7508
Tb  0.2446  0.2446  0.2491
Tb  0.4136  0.0845  0.7508
Tb  0.5864  0.9155  0.2492
Tb  0.7554  0.7554  0.7509
Tb  0.9155  0.5864  0.2492
Pr  0.3335  0.6665  0.5000
Pr  0.6665  0.3335  0.5000
Y  0.1670  0.8330  0.0000
Y  0.5000  0.5000  0.0000
Y  0.8330  0.1670  0.0000
Th  0.0000  0.0000  0.5000

E in eV per atom: -5.31
Symmetry: C2/m (12)

Entry 11:
First-principles (PBE) data for a geometry-optimized Tb6PrY3Th2 structure, as listed in Alexandria.

abc: 6.2120 6.2120 11.8402
angles: 95.03 95.03 119.95
Fractional positions:
Tb  0.0781  0.4164  0.7519
Tb  0.2451  0.2451  0.2482
Tb  0.4164  0.0781  0.7519
Tb  0.5836  0.9219  0.2481
Tb  0.7549  0.7549  0.7518
Tb  0.9219  0.5836  0.2481
Pr  0.5000  0.5000  0.0000
Y  0.0000  0.0000  0.5000
Y  0.3336  0.6664  0.5000
Y  0.6664  0.3336  0.5000
Th  0.1667  0.8333  0.0000
Th  0.8333  0.1667  0.0000

E in eV per atom: -5.53
Symmetry: C2/m (12)

Entry 12:
First-principles (PBE) data for a geometry-optimized Tb6Pr3Y2Th structure, as listed in Alexandria.

abc: 6.2441 6.2441 11.9335
angles: 95.02 95.02 119.99
Fractional positions:
Tb  0.0822  0.4115  0.7460
Tb  0.2470  0.2470  0.2539
Tb  0.4115  0.0822  0.7460
Tb  0.5885  0.9178  0.2540
Tb  0.7530  0.7530  0.7461
Tb  0.9178  0.5885  0.2540
Pr  0.1669  0.8331  0.0000
Pr  0.5000  0.5000  0.0000
Pr  0.8331  0.1669  0.0000
Y  0.3332  0.6668  0.5000
Y  0.6668  0.3332  0.5000
Th  0.0000  0.0000  0.5000

E in eV per atom: -5.18
Symmetry: C2/m (12)